{"formula": "VRuClF2", "functional": "GGA+U", "state": "optimized geometry", "sg": "P4/mmm, No. 123", "final_energy_ev_per_cell": -26.0, "lattice": [[3.963, 0.000, 0.000], [0.000, 3.963, 0.000], [0.000, 0.000, 5.482]], "species": ["V", "Ru", "Cl", "F", "F"], "frac_coords": [[0.000, 0.000, 0.000], [0.000, 0.000, 0.500], [0.500, 0.500, 0.000], [0.000, 0.500, 0.500], [0.500, 0.000, 0.500]]}